1.
Computed, not measured: a relaxed Cs2NaHoI6 crystal at the PBE-GGA level of DFT.

```
data_Cs2NaHoI6
_cell_length_a 8.746
_cell_length_b 12.367
_cell_length_c 8.747
_cell_angle_alpha 90.00
_cell_angle_beta 90.00
_cell_angle_gamma 90.00
_symmetry_space_group_name_H-M 'P m m n'
_symmetry_Int_Tables_number 59
loop_
_symmetry_equiv_pos_as_xyz
'x,y,z'
'-x,-y,-z'
'-x+1/2,-y+1/2,z'
'x+1/2,y+1/2,-z'
'x+1/2,-y,-z'
'-x+1/2,y,z'
'-x,y+1/2,-z'
'x,-y+1/2,z'
loop_
_atom_site_label
_atom_site_fract_x
_atom_site_fract_y
_atom_site_fract_z
Cs1 0.250 0.000 0.250
Na1 0.250 0.250 0.749
Ho1 0.250 0.750 0.751
I1 0.006 0.750 0.508
I2 0.007 0.750 0.995
I3 0.250 0.506 0.751
```

***

2.
Computed, not measured: a relaxed CsHoPb2I8 crystal at the PBE-GGA level of DFT.

```
data_CsHoPb2I8
_cell_length_a 7.776
_cell_length_b 8.007
_cell_length_c 10.550
_cell_angle_alpha 75.26
_cell_angle_beta 81.38
_cell_angle_gamma 79.70
_symmetry_space_group_name_H-M 'P -1'
_symmetry_Int_Tables_number 2
loop_
_symmetry_equiv_pos_as_xyz
'x,y,z'
'-x,-y,-z'
loop_
_atom_site_label
_atom_site_fract_x
_atom_site_fract_y
_atom_site_fract_z
Cs1 0.000 0.000 0.000
Ho1 0.000 0.000 0.500
Pb1 0.465 0.443 0.236
I1 0.135 0.718 0.736
I2 0.232 0.809 0.311
I3 0.284 0.212 0.500
I4 0.402 0.262 0.025
```

***

3.
Computed, not measured: a relaxed Cs2HoPdI6 crystal at the PBE-GGA level of DFT.

```
data_Cs2HoPdI6
_cell_length_a 8.4696
_cell_length_b 8.4696
_cell_length_c 41.7414
_cell_angle_alpha 90.00
_cell_angle_beta 90.00
_cell_angle_gamma 120.00
_symmetry_space_group_name_H-M 'R -3 m'
_symmetry_Int_Tables_number 166
_symmetry_space_group_name_Hall '-R 3 2"'
loop_
_atom_site_label
_atom_site_fract_x
_atom_site_fract_y
_atom_site_fract_z
Cs1 0.0000 0.0000 0.1205
Cs2 0.0000 0.0000 0.2957
Ho1 0.0000 0.0000 0.4173
Pd1 0.0000 0.0000 0.0000
Pd2 0.0000 0.0000 0.5000
I1 0.0016 0.5008 0.1265
I2 0.0033 0.5016 0.7082
```

***

4.
Computed, not measured: a relaxed CsRb2HoI6 crystal at the PBE-GGA level of DFT.

```
data_CsRb2HoI6
_cell_length_a 9.0510
_cell_length_b 9.0510
_cell_length_c 23.5187
_cell_angle_alpha 90.00
_cell_angle_beta 90.00
_cell_angle_gamma 120.00
_symmetry_space_group_name_H-M 'R 3'
_symmetry_Int_Tables_number 146
_symmetry_space_group_name_Hall 'R 3'
loop_
_atom_site_label
_atom_site_fract_x
_atom_site_fract_y
_atom_site_fract_z
Cs1 0.0000 0.0000 0.0000
Rb1 0.0000 0.0000 0.2868
Rb2 0.0000 0.0000 0.7986
Ho1 0.0000 0.0000 0.4906
I1 0.0332 0.2958 0.5619
I2 0.0722 0.6785 0.0784
```

***

5.
Computed, not measured: a relaxed CsHoScI6 crystal at the PBE-GGA level of DFT.

```
data_CsHoScI6
_cell_length_a 7.540
_cell_length_b 7.542
_cell_length_c 9.091
_cell_angle_alpha 91.42
_cell_angle_beta 91.22
_cell_angle_gamma 118.72
_symmetry_space_group_name_H-M 'P 1'
_symmetry_Int_Tables_number 1
loop_
_symmetry_equiv_pos_as_xyz
'x,y,z'
loop_
_atom_site_label
_atom_site_fract_x
_atom_site_fract_y
_atom_site_fract_z
Cs1 0.000 0.000 0.000
Ho1 0.349 0.652 0.500
Sc1 0.653 0.348 0.500
I1 0.004 0.652 0.681
I2 0.350 0.996 0.318
I3 0.381 0.373 0.716
I4 0.628 0.619 0.284
I5 0.654 0.016 0.685
I6 0.985 0.345 0.316
```

***

6.
Computed, not measured: a relaxed CsHoSnI6 crystal at the PBE-GGA level of DFT.

```
data_CsHoSnI6
_cell_length_a 8.1106
_cell_length_b 8.1106
_cell_length_c 8.5388
_cell_angle_alpha 90.00
_cell_angle_beta 90.00
_cell_angle_gamma 120.00
_symmetry_space_group_name_H-M 'P 3 1 2'
_symmetry_Int_Tables_number 149
loop_
_symmetry_equiv_pos_as_xyz
'x,y,z'
'-y,x-y,z'
'-x+y,-x,z'
'-y,-x,-z'
'-x+y,y,-z'
'x,x-y,-z'
loop_
_atom_site_label
_atom_site_fract_x
_atom_site_fract_y
_atom_site_fract_z
Cs1 0.0000 0.0000 0.0000
Ho1 0.6667 0.3333 0.5000
Sn1 0.3333 0.6667 0.5000
I1 0.3801 0.0154 0.7085
```

***

7.
Computed, not measured: a relaxed Cs2SrHoI6 crystal at the PBE-GGA level of DFT.

```
data_Cs2SrHoI6
_cell_length_a 8.865
_cell_length_b 12.540
_cell_length_c 8.862
_cell_angle_alpha 90.00
_cell_angle_beta 90.00
_cell_angle_gamma 90.00
_symmetry_space_group_name_H-M 'P m m n'
_symmetry_Int_Tables_number 59
loop_
_symmetry_equiv_pos_as_xyz
'x,y,z'
'-x,-y,-z'
'-x+1/2,-y+1/2,z'
'x+1/2,y+1/2,-z'
'x+1/2,-y,-z'
'-x+1/2,y,z'
'-x,y+1/2,-z'
'x,-y+1/2,z'
loop_
_atom_site_label
_atom_site_fract_x
_atom_site_fract_y
_atom_site_fract_z
Cs1 0.250 0.001 0.249
Sr1 0.250 0.750 0.750
Ho1 0.250 0.250 0.749
I1 0.008 0.250 0.507
I2 0.008 0.250 0.992
I3 0.250 0.008 0.749
```

***

8.
Computed, not measured: a relaxed CsHoTlI6 crystal at the PBE-GGA level of DFT.

```
data_CsHoTlI6
_cell_length_a 8.2277
_cell_length_b 8.2277
_cell_length_c 8.3228
_cell_angle_alpha 90.00
_cell_angle_beta 90.00
_cell_angle_gamma 120.00
_symmetry_space_group_name_H-M 'P 3 1 2'
_symmetry_Int_Tables_number 149
loop_
_symmetry_equiv_pos_as_xyz
'x,y,z'
'-y,x-y,z'
'-x+y,-x,z'
'-y,-x,-z'
'-x+y,y,-z'
'x,x-y,-z'
loop_
_atom_site_label
_atom_site_fract_x
_atom_site_fract_y
_atom_site_fract_z
Cs1 0.0000 0.0000 0.0000
Ho1 0.3333 0.6667 0.5000
Tl1 0.6667 0.3333 0.5000
I1 0.0206 0.3964 0.7205
```

***

Record order is preserved below.
Energy: -62.8 -37.1 -193.4 -94.0 -32.9 -29.1 -62.8 -26.8 eV per cell
Record order is preserved below.
Formation energy from raw total energies: -1447 -988 -1145 -1468 -1314 -1150 -1412 -1073 meV per atom
Record order is preserved below.
Magnetization: 0.0 0.0 1.0 0.0 1.0 0.0 0.8 0.0 μB per formula unit